Crystalline LiMgAgPb at its relaxed geometry, computed with GGA-PBE.

a b c (Å): 4.5689 4.5689 5.0967
angles (deg): 116.62 116.63 90.00
Fractional coordinates of all 4 atoms:
Mg  0.2500  0.7500  0.5000
Li  0.7500  0.2500  0.5000
Ag  0.5000  0.5000  0.0000
Pb  0.0000  0.0000  0.0000

Computed properties:
- Formation enthalpy at 0 K: -186 meV/atom
- SG: I-4m2
- Size of the total moment: 0.00 μB per formula unit
- E above lowest polymorph: 0.000 eV/atom